The following is a DFT calculation (GGA-PBE) of a relaxed structure of Ni2Pb3.

Cell and atoms, written as extended XYZ:
```
5
Lattice="2.156 1.245 7.240 -2.156 1.245 7.240 0.000 -2.490 7.240" Properties=species:S:1:pos:R:3 pbc="T T T"
Ni 0.000 0.000 2.858
Ni 0.000 0.000 18.861
Pb 0.000 0.000 5.945
Pb 0.000 0.000 10.859
Pb 0.000 0.000 15.774
```

Properties
DOS(E_F), states/eV/cell: 4.26
Formation energy from the elements, eV per atom: 0.1949


The following is a DFT calculation (GGA-PBE) of a relaxed structure of CuRu2Rh3.

Cell and atoms, written as extended XYZ:
```
6
Lattice="2.715 0.000 0.000 0.000 2.715 0.000 0.000 0.000 11.265" Properties=species:S:1:pos:R:3 pbc="T T T"
Cu 0.000 0.000 0.000
Ru 0.000 0.000 3.683
Ru 0.000 0.000 7.582
Rh 1.357 1.357 1.859
Rh 1.357 1.357 5.632
Rh 1.357 1.357 9.406
```

Properties
DOS(E_F), states/eV/cell: 5.60
Formation energy from the elements, eV per atom: 0.0413


The following is a DFT calculation (GGA-PBE) of a relaxed structure of TbThTl.

Cell and atoms, written as extended XYZ:
```
6
Lattice="2.683 1.549 7.687 -2.683 1.549 7.687 0.000 -3.098 7.687" Properties=species:S:1:pos:R:3 pbc="T T T"
Tb 0.000 0.000 4.968
Tb 0.000 0.000 18.092
Th 0.000 0.000 8.350
Th 0.000 0.000 14.710
Tl 0.000 0.000 1.757
Tl 0.000 0.000 21.303
```

Properties
ΔE to the lowest computed polymorph, meV/atom: 182.7
DOS(E_F), states/eV/cell: 6.55
Formation energy from the elements, eV per atom: 0.0388


The following is a DFT calculation (GGA-PBE) of a relaxed structure of YBe2Ru.

Cell and atoms, written as extended XYZ:
```
4
Lattice="3.459 0.000 0.000 0.000 1.608 5.275 0.000 -1.608 5.275" Properties=species:S:1:pos:R:3 pbc="T T T"
Y 0.000 0.000 0.000
Be 0.000 0.000 7.844
Be 1.729 0.000 6.778
Ru 1.729 0.000 3.155
```

Properties
ΔE to the lowest computed polymorph, meV/atom: 98.4
DOS(E_F), states/eV/cell: 2.02
Formation energy from the elements, eV per atom: -0.1527


The following is a DFT calculation (GGA-PBE) of a relaxed structure of AlGa2Os.

Cell and atoms, written as extended XYZ:
```
8
Lattice="-1.870 1.870 9.355 1.870 -1.870 9.355 1.870 1.870 -9.355" Properties=species:S:1:pos:R:3 pbc="T T T"
Al 0.000 0.000 0.000
Al 0.000 1.870 4.677
Ga 0.935 -0.908 7.016
Ga 0.963 0.935 2.339
Ga 0.935 2.778 -2.339
Ga 0.908 0.935 11.693
Os 1.870 0.000 4.677
Os 0.000 0.000 9.355
```

Properties
DOS(E_F), states/eV/cell: 6.89
Formation energy from the elements, eV per atom: 0.2305


The following is a DFT calculation (GGA-PBE) of a relaxed structure of NaZn12.

Cell and atoms, written as extended XYZ:
```
13
Lattice="-4.474 4.474 2.623 4.474 -4.474 2.623 4.474 4.474 -2.623" Properties=species:S:1:pos:R:3 pbc="T T T"
Na 0.000 0.000 0.000
Zn 2.237 2.237 -1.311
Zn 3.156 0.000 0.000
Zn 2.237 -2.237 1.311
Zn 5.793 0.000 0.000
Zn 4.474 2.514 0.000
Zn 0.000 3.156 0.000
Zn -2.237 2.237 1.311
Zn 2.514 4.474 0.000
Zn 2.237 2.237 1.311
Zn 1.960 0.000 2.623
Zn 0.000 5.793 0.000
Zn 0.000 1.960 2.623
```

Properties
DOS(E_F), states/eV/cell: 4.61
Formation energy from the elements, eV per atom: -0.0108


The following is a DFT calculation (GGA-PBE) of a relaxed structure of ScAlAgOs.

Cell and atoms, written as extended XYZ:
```
4
Lattice="0.000 3.201 3.201 3.201 0.000 3.201 3.201 3.201 0.000" Properties=species:S:1:pos:R:3 pbc="T T T"
Sc 0.000 0.000 0.000
Al 3.201 3.201 3.201
Ag 4.802 4.802 4.802
Os 1.601 1.601 1.601
```

Properties
DOS(E_F), states/eV/cell: 3.19
Formation energy from the elements, eV per atom: -0.2768


The following is a DFT calculation (GGA-PBE) of a relaxed structure of Si23Rh.

Cell and atoms, written as extended XYZ:
```
48
Lattice="10.183 0.000 0.000 0.000 10.183 0.000 0.000 0.000 10.183" Properties=species:S:1:pos:R:3 pbc="T T T"
Si 0.000 1.186 3.138
Si 0.000 1.186 7.045
Si 0.000 2.546 5.091
Si 0.000 7.637 5.091
Si 0.000 8.997 3.138
Si 0.000 8.997 7.045
Si 1.186 3.138 0.000
Si 1.186 7.045 0.000
Si 1.849 1.849 1.849
Si 1.849 1.849 8.334
Si 1.849 8.334 1.849
Si 1.849 8.334 8.334
Si 1.953 3.905 5.091
Si 1.953 6.278 5.091
Si 2.546 5.091 0.000
Si 3.138 0.000 1.186
Si 3.138 0.000 8.997
Si 3.242 3.242 3.242
Si 3.242 3.242 6.940
Si 3.242 6.940 3.242
Si 3.242 6.940 6.940
Si 3.905 5.091 1.953
Si 3.905 5.091 8.230
Si 5.091 0.000 2.546
Si 5.091 0.000 7.637
Si 5.091 1.953 3.905
Si 5.091 1.953 6.278
Si 5.091 8.230 3.905
Si 5.091 8.230 6.278
Si 6.278 5.091 1.953
Si 6.278 5.091 8.230
Si 6.940 3.242 3.242
Si 6.940 3.242 6.940
Si 6.940 6.940 3.242
Si 6.940 6.940 6.940
Si 7.045 0.000 1.186
Si 7.045 0.000 8.997
Si 7.637 5.091 0.000
Si 8.230 3.905 5.091
Si 8.230 6.278 5.091
Si 8.334 1.849 1.849
Si 8.334 1.849 8.334
Si 8.334 8.334 1.849
Si 8.334 8.334 8.334
Si 8.997 3.138 0.000
Si 8.997 7.045 0.000
Rh 0.000 0.000 0.000
Rh 5.091 5.091 5.091
```

Properties
DOS(E_F), states/eV/cell: 13.14
Uncorrected formation energy, meV per atom: 159